The following is a DFT calculation (GGA+U) of an optimized crystal structure of Li2Cr2FeSbO8.

Cell lengths 5.9909, 5.9909, 9.6689 Å; angles 90.18, 90.18, 59.83 degrees
Sites, in units of the cell vectors:
Li 0.0000 0.0000 0.0000
Li 0.0005 0.0005 0.5012
Li 0.3335 0.3335 0.4126
Li 0.6659 0.6659 0.9163
Cr 0.1722 0.1722 0.7237
Cr 0.3392 0.8299 0.2240
Cr 0.8299 0.3392 0.2240
Cr 0.8297 0.8297 0.2241
Fe 0.1716 0.6609 0.7242
Fe 0.6609 0.1716 0.7242
Sb 0.3324 0.3324 0.9991
Sb 0.6673 0.6673 0.4963
O 0.9997 0.9997 0.3159
O 0.0010 0.0010 0.8131
O 0.0371 0.4788 0.8556
O 0.1637 0.6689 0.1057
O 0.1647 0.1647 0.1058
O 0.3346 0.8357 0.6052
O 0.3361 0.3361 0.6170
O 0.4788 0.0371 0.8556
O 0.4812 0.4812 0.8598
O 0.5181 0.9629 0.3527
O 0.5187 0.5187 0.3534
O 0.6662 0.6662 0.1199
O 0.6689 0.1637 0.1057
O 0.8330 0.8330 0.6045
O 0.8357 0.3346 0.6052
O 0.9629 0.5181 0.3527

The value obtained for the total energy is -6.711 eV per atom.